[1]
{"formula": "NaTlC", "functional": "GGA-PBE", "state": "optimized geometry", "formation_enthalpy_0k_ev_per_atom": 0.326, "magnetic_moment_mub_per_fu": 0.0, "cell": [[20.5880, 0.0000, 0.0338], [9.7504, 1.7973, -1.7192], [-9.7504, 1.7973, 1.7192]], "species": ["C", "Tl", "Na", "Na", "Tl", "C"], "fractional_positions": [[0.0841, 0.3858, 0.6142], [0.7906, 0.8991, 0.1009], [0.6268, 0.3044, 0.6956], [0.3732, 0.6956, 0.3044], [0.2094, 0.1009, 0.8991], [0.9159, 0.6142, 0.3858]]}

[2]
{"formula": "Nd4InHg", "functional": "GGA-PBE", "state": "optimized geometry", "formation_enthalpy_0k_ev_per_atom": -0.102, "magnetic_moment_mub_per_fu": 0.0, "cell": [[3.8082, 0.0000, 0.0000], [0.0000, 8.9515, -0.0037], [0.0000, 0.0009, 5.8347]], "species": ["Nd", "Nd", "Hg", "Nd", "Nd", "In"], "fractional_positions": [[0.5000, 0.7121, 0.0001], [0.0000, 0.7939, 0.5002], [0.0000, 0.0000, 0.0000], [0.5000, 0.2879, 0.9999], [0.0000, 0.2061, 0.4998], [0.5000, 0.5000, 0.5000]]}

[3]
{"formula": "HoGaAgIr", "functional": "GGA-PBE", "state": "optimized geometry", "formation_enthalpy_0k_ev_per_atom": -0.395, "magnetic_moment_mub_per_fu": 0.0, "cell": [[-3.0123, 2.5041, 2.5940], [-4.3422, -1.6183, 0.7744], [-1.2200, -1.4969, 4.2830]], "species": ["Ga", "Ag", "Ho", "Ir"], "fractional_positions": [[0.0000, 0.0000, 0.0000], [0.2500, 0.2500, 0.2500], [0.5000, 0.5000, 0.5000], [0.7500, 0.7500, 0.7500]]}

[4]
{"formula": "ZrCu2Pb", "functional": "GGA-PBE", "state": "optimized geometry", "formation_enthalpy_0k_ev_per_atom": 0.174, "magnetic_moment_mub_per_fu": 0.0, "cell": [[4.7120, 0.0000, 0.0000], [2.3560, 4.0807, 0.0000], [2.3560, 1.3602, 3.8473]], "species": ["Cu", "Pb", "Cu", "Zr"], "fractional_positions": [[0.0000, 0.0000, 0.0000], [0.5000, 0.5000, 0.5000], [0.2500, 0.2500, 0.2500], [0.7500, 0.7500, 0.7500]]}

[5]
{"formula": "NdDy15Sc4", "functional": "GGA-PBE", "state": "optimized geometry", "formation_enthalpy_0k_ev_per_atom": 0.037, "magnetic_moment_mub_per_fu": 0.0, "cell": [[-4.4498, 2.1076, 0.4565], [-1.4015, -3.6219, 3.0608], [8.1702, 13.0855, 19.2249]], "species": ["Sc", "Dy", "Dy", "Dy", "Dy", "Sc", "Dy", "Dy", "Dy", "Dy", "Dy", "Dy", "Dy", "Dy", "Dy", "Sc", "Dy", "Dy", "Nd", "Sc"], "fractional_positions": [[0.0000, 0.0000, 0.4012], [0.5000, 0.5000, 0.2044], [0.5000, 0.0000, 0.6976], [0.5000, 0.0000, 0.1048], [0.5000, 0.5000, 0.7956], [0.0000, 0.0000, 0.5988], [0.0000, 0.5000, 0.8952], [0.0000, 0.5000, 0.1048], [0.5000, 0.5000, 0.5988], [0.5000, 0.0000, 0.8952], [0.0000, 0.5000, 0.3024], [0.0000, 0.5000, 0.5000], [0.5000, 0.5000, 0.4012], [0.5000, 0.0000, 0.3024], [0.5000, 0.5000, 0.0000], [0.0000, 0.0000, 0.7966], [0.0000, 0.5000, 0.6976], [0.5000, 0.0000, 0.5000], [0.0000, 0.0000, 0.0000], [0.0000, 0.0000, 0.2034]]}

[6]
{"formula": "Pr2HoRh9", "functional": "GGA-PBE", "state": "optimized geometry", "formation_enthalpy_0k_ev_per_atom": -0.496, "magnetic_moment_mub_per_fu": 0.0, "cell": [[5.0764, 0.0000, 1.5108], [2.3134, 4.5186, 1.5108], [-0.0436, -0.0267, 9.4303]], "species": ["Pr", "Rh", "Rh", "Rh", "Rh", "Pr", "Rh", "Rh", "Rh", "Rh", "Ho", "Rh"], "fractional_positions": [[0.1385, 0.1385, 0.5846], [0.4199, 0.9183, 0.2419], [0.5801, 0.5801, 0.7581], [0.5801, 0.0817, 0.7581], [0.6672, 0.6672, 0.9983], [0.8615, 0.8615, 0.4154], [0.4199, 0.4199, 0.2419], [0.0817, 0.5801, 0.7581], [0.5000, 0.5000, 0.5000], [0.9183, 0.4199, 0.2419], [0.0000, 0.0000, 0.0000], [0.3328, 0.3328, 0.0017]]}

[7]
{"formula": "TbCdHgRh", "functional": "GGA-PBE", "state": "optimized geometry", "formation_enthalpy_0k_ev_per_atom": -0.359, "magnetic_moment_mub_per_fu": 0.0, "cell": [[-2.4049, -1.7557, -3.9065], [1.6787, -3.9846, -2.3306], [-2.4444, -4.2480, 0.3260]], "species": ["Tb", "Rh", "Hg", "Cd"], "fractional_positions": [[0.2500, 0.2500, 0.2500], [0.0000, 0.0000, 0.0000], [0.5000, 0.5000, 0.5000], [0.7500, 0.7500, 0.7500]]}

[8]
{"formula": "TmB12", "functional": "GGA-PBE", "state": "optimized geometry", "formation_enthalpy_0k_ev_per_atom": -0.240, "magnetic_moment_mub_per_fu": 0.0, "cell": [[-2.7830, -1.7592, -4.1315], [0.6990, -4.9367, -1.7464], [-3.7863, -3.6147, 0.7120]], "species": ["B", "B", "Tm", "B", "B", "B", "B", "B", "B", "B", "B", "B", "B"], "fractional_positions": [[0.8378, 0.1622, 0.5000], [0.8378, 0.5000, 0.1622], [0.0000, 0.0000, 0.0000], [0.5000, 0.8378, 0.5000], [0.5000, 0.5000, 0.1622], [0.5000, 0.1622, 0.8378], [0.8378, 0.5000, 0.5000], [0.1622, 0.5000, 0.8378], [0.1622, 0.5000, 0.5000], [0.5000, 0.5000, 0.8378], [0.5000, 0.8378, 0.1622], [0.5000, 0.1622, 0.5000], [0.1622, 0.8378, 0.5000]]}